[1]
This record from the Alexandria database describes a relaxed U2Tl3HgTe6 crystal. The functional is GGA-PBE.

Output
Its raw formation energy is -0.42 eV per atom. For the calculated total energy, the calculation gives -107.82 eV per cell. For the calculated volume, the calculation gives 856.27 Å³/cell.

a = 7.9296 Å, b = 13.4652 Å, c = 8.3664 Å
α = 90.00°, β = 106.56°, γ = 90.00°
Space group C2/m (No. 12)
Inequivalent atoms, fractional coordinates:
U 0.0000 0.1711 0.0000 [4 per cell]
Tl 0.0000 0.0000 0.5000 [2 per cell]
Tl 0.0000 0.3450 0.5000 [4 per cell]
Hg 0.0000 0.5000 0.0000 [2 per cell]
Te 0.2166 0.0000 0.1997 [4 per cell]
Te 0.2452 0.1803 0.7762 [8 per cell]

***

[2]
This record from the Alexandria database describes a relaxed YTlHgTe3 crystal. The functional is GGA-PBE.

Output
Its raw formation energy is -0.72 eV per atom. For the calculated total energy, the calculation gives -45.71 eV per cell. For the calculated volume, the calculation gives 424.02 Å³/cell.

a = 9.3573 Å, b = 4.4957 Å, c = 10.5048 Å
α = 90.00°, β = 106.36°, γ = 90.00°
Space group P2_1/m (No. 11)
Inequivalent atoms, fractional coordinates:
Y 0.1754 0.2500 0.1421 [2 per cell]
Tl 0.2884 0.7500 0.7678 [2 per cell]
Hg 0.4099 0.7500 0.3903 [2 per cell]
Te 0.0456 0.2500 0.8395 [2 per cell]
Te 0.2563 0.2500 0.4644 [2 per cell]
Te 0.4009 0.7500 0.1190 [2 per cell]